i) Material: Al2AgI
Method: DFT, PBE-GGA
State: relaxed

abc: 5.2068 5.2068 5.2068
angles: 60.00 60.00 60.00
Atoms (fractional coordinates):
1 I 0.5000 0.5000 0.5000
2 Al 0.2500 0.2500 0.2500
3 Al 0.7500 0.7500 0.7500
4 Ag 0.0000 0.0000 0.0000



ii) Material: Al2AgI
Method: DFT, PBE-GGA
State: relaxed

abc: 6.5305 6.5305 7.6243
angles: 64.64 64.64 90.00
Atoms (fractional coordinates):
1 I 0.0000 0.0000 0.0000
2 I 0.7500 0.2500 0.5000
3 Al 0.5557 0.1250 0.2500
4 Al 0.1943 0.6250 0.2500
5 Al 0.3750 0.4443 0.7500
6 Al 0.8750 0.8057 0.7500
7 Ag 0.5000 0.5000 0.0000
8 Ag 0.2500 0.7500 0.5000



We find ii) to be the most stable, with the next structure 184 meV/atom higher.